Compound: RbThBi2Au2
Source: Alexandria
Functional: PBE
Structure: relaxed

Lattice parameters (Å, degrees): 4.7996 4.7996 9.8985 90.00 90.00 120.00
With the nearest neighbours (Å) after each atom.
Fractional positions:
Rb 0.0000 0.0000 0.0000  6 Bi 3.84
Th 0.0000 0.0000 0.5000  6 Au 3.17
Bi 0.3333 0.6667 0.7314  3 Au 2.87
Bi 0.6667 0.3333 0.2686  3 Au 2.87
Au 0.3333 0.6667 0.3443  3 Bi 2.87, 3 Th 3.17
Au 0.6667 0.3333 0.6557  3 Bi 2.87, 3 Th 3.17

Summary:
As for the symmetry: P-3m1, No. 164. As for the volume: 197 Å³/cell. The value obtained for the formation energy from the elements is -528.6 meV per atom.